1.
Material: Hf2GeH
Method: DFT, PBE
State: relaxed

Results
Energy relative to the lowest polymorph listed for this composition = 390 meV per atom

Cell: 6.3696 6.3696 6.3696 Å, 90.00 90.00 90.00°
With the nearest neighbours (Å) after each atom.
Space group Fm-3m (No. 225)
One atom of each set of equivalent atoms:
Hf 0.2500 0.2500 0.2500  4 Ge 2.76, 4 H 2.76
Ge 0.0000 0.0000 0.0000  8 Hf 2.76
H 0.0000 0.0000 0.5000  8 Hf 2.76


2.
Material: Hf2GeH2
Method: DFT, PBE
State: relaxed

Results
Energy relative to the lowest polymorph listed for this composition = 0 meV per atom

Cell: 6.0215 9.0384 5.6496 Å, 90.00 122.19 90.00°
With the nearest neighbours (Å) after each atom.
Space group C2/c (No. 15)
One atom of each set of equivalent atoms:
Hf 0.0000 0.0827 0.2500  4 H 2.04-2.16
Hf 0.0000 0.3333 0.7500  4 H 2.04-2.17
Ge 0.0000 0.3747 0.2500  6 Hf 2.64-2.85
H 0.1114 0.1249 0.9733  4 Hf 2.04-2.17, 1 H 2.14


3.
Material: Hf4GeH2
Method: DFT, PBE
State: relaxed

Results
E_tot = -7.601 eV per atom

Cell: 7.5194 7.5194 3.8631 Å, 90.00 90.00 90.00°
With the nearest neighbours (Å) after each atom.
Space group I4/m (No. 87)
One atom of each set of equivalent atoms:
Hf 0.0954 0.7164 0.0000  2 H 2.02
Ge 0.0000 0.0000 0.5000  8 Hf 2.97
H 0.0000 0.5000 0.2500  2 H 1.93, 4 Hf 2.02


4.
Material: Hf3Ge2H2
Method: DFT, PBE
State: relaxed

Results
E_tot = -6.950 eV per atom

Cell: 5.4867 7.8697 5.5987 Å, 90.00 120.31 90.00°
With the nearest neighbours (Å) after each atom.
Space group P2_1/c (No. 14)
One atom of each set of equivalent atoms:
Hf 0.0000 0.0000 0.0000  2 H 1.99
Hf 0.2874 0.1347 0.6608  2 H 2.03-2.08
Ge 0.2293 0.7264 0.3192  2 H 2.58-2.84, 5 Hf 2.66-2.87, 2 Ge 2.82
H 0.3191 0.1256 0.3053  3 Hf 1.99-2.08


5.
Material: HfGeH
Method: DFT, PBE
State: relaxed

Results
Energy relative to the lowest polymorph listed for this composition = 0 meV per atom

Cell: 9.9182 3.6810 5.3631 Å, 90.00 122.08 90.00°
With the nearest neighbours (Å) after each atom.
Space group C2/m (No. 12)
One atom of each set of equivalent atoms:
Hf 0.1976 0.0000 0.1727  3 H 2.00-2.06
Ge 0.0176 0.5000 0.2741  2 Ge 2.62-2.77, 3 H 2.71-2.78, 6 Hf 2.81-2.92
H 0.2025 0.0000 0.8047  3 Hf 2.00-2.06


6.
Material: Hf2GeH
Method: DFT, PBE
State: relaxed

Results
Energy relative to the lowest polymorph listed for this composition = 37 meV per atom

Cell: 3.1926 3.2069 6.6053 Å, 79.22 79.33 72.19°
With the nearest neighbours (Å) after each atom.
Space group P1 (No. 1)
One atom of each set of equivalent atoms:
Hf 0.0000 0.0000 0.0000  1 H 2.00
Hf 0.3387 0.3385 0.3895  3 H 2.02-2.06
Ge 0.6412 0.6414 0.7006  6 Hf 2.71-3.01, 1 H 2.80
H 0.9878 0.9863 0.3056  4 Hf 2.00-2.06